[1]
A relaxed structure of KOsWCl2, computed with PBE.

a = 5.210 Å, b = 5.210 Å, c = 4.858 Å
α = 90.00°, β = 90.00°, γ = 90.00°
Element x y z (fractional)
K  0.000  0.000  0.000
Os  0.500  0.500  0.500
W  0.500  0.500  0.000
Cl  0.000  0.500  0.500
Cl  0.500  0.000  0.500

Results
* N(E_F): 0.696 states/eV per atom
* crystal system: tetragonal
* symmetry: No. 123
* raw formation energy: 3.9 eV/f.u.

=====

[2]
A relaxed structure of K2PCl, computed with PBE.

a = 7.741 Å, b = 7.741 Å, c = 7.741 Å
α = 145.99°, β = 145.99°, γ = 48.86°
Element x y z (fractional)
K  0.000  0.000  0.000
K  0.750  0.250  0.500
P  0.250  0.750  0.500
Cl  0.500  0.500  0.000

Results
* N(E_F): 0.324 states/eV per atom
* crystal system: tetragonal
* offset from the most stable computed form: 0.2041 eV/atom
* symmetry: No. 119
* raw formation energy: -2.1 eV/f.u.

=====

[3]
A relaxed structure of KPCl6, computed with PBE.

a = 5.558 Å, b = 6.223 Å, c = 7.336 Å
α = 70.34°, β = 68.04°, γ = 77.06°
Element x y z (fractional)
K  0.000  0.000  0.000
P  0.500  0.500  0.500
Cl  0.063  0.613  0.668
Cl  0.344  0.134  0.456
Cl  0.471  0.727  0.183
Cl  0.529  0.273  0.817
Cl  0.656  0.866  0.544
Cl  0.937  0.387  0.332

Results
* crystal system: triclinic
* offset from the most stable computed form: 0.2577 eV/atom
* symmetry: No. 2
* raw formation energy: -4.9 eV/f.u.

=====

[4]
A relaxed structure of KPCl2, computed with PBE.

a = 5.682 Å, b = 5.682 Å, c = 6.028 Å
α = 90.00°, β = 90.00°, γ = 120.65°
Element x y z (fractional)
K  0.000  0.000  0.000
P  0.500  0.500  0.511
Cl  0.000  0.000  0.511
Cl  0.500  0.500  0.159

Results
* N(E_F): 0.635 states/eV per atom
* crystal system: orthorhombic
* offset from the most stable computed form: 0.1436 eV/atom
* symmetry: No. 35
* raw formation energy: -2.0 eV/f.u.

=====

| no. | energy (eV/atom) |
| --- | --- |
| 1 | -5.017 |
| 2 | -2.898 |
| 3 | -2.814 |
| 4 | -3.048 |